Record 1
This record from Alexandria describes a relaxed structure of NaCoH3. The functional is PBE-GGA.

Output
The total magnetization comes out at 1.00 μB per formula unit. Its density of states at the Fermi level is 1.3 states/eV/f.u. Its energy is -3.800 eV per atom.

The structure in POSCAR format:
```
NaCoH3
1.0
4.5729 0.0057 -0.0007
-0.0137 5.4471 -0.0368
-2.2895 1.9370 3.4538
H Co Na
6 2 2
Direct
0.2417 0.9763 0.6782
0.3793 0.5578 0.4560
0.2421 0.9763 0.1776
0.3798 0.5578 0.9554
0.7408 0.9763 0.1771
0.8806 0.5577 0.4565
0.1427 0.7714 0.4806
0.4788 0.7626 0.1530
0.7011 0.0973 0.5968
0.9204 0.4366 0.0367
```

---

Record 2
This record from Alexandria describes a relaxed structure of Na3CoH. The functional is PBE-GGA.

Output
The total magnetization comes out at 1.08 μB per formula unit. Its density of states at the Fermi level is 28.0 states/eV/f.u. Its energy is -1.883 eV per atom.

The structure in POSCAR format:
```
Na3CoH
1.0
5.4585 0.0000 0.0000
0.0000 5.4585 0.0000
0.0000 0.0000 5.4585
Na Co H
3 1 1
Direct
0.0000 0.5000 0.0000
0.0000 0.0000 0.5000
0.5000 0.0000 0.0000
0.0000 0.0000 0.0000
0.5000 0.5000 0.5000
```

---

Record 3
This record from Alexandria describes a relaxed structure of NaCo2H8. The functional is PBE-GGA.

Output
The total magnetization comes out at 0.01 μB per formula unit. Its density of states at the Fermi level is 3.0 states/eV/f.u. Its energy is -3.839 eV per atom.

The structure in POSCAR format:
```
NaCo2H8
1.0
-2.8244 -1.6827 -0.7308
2.0026 -1.6209 -3.9571
0.5903 -2.6475 3.8651
Na Co H
1 2 8
Direct
0.5000 0.0000 0.0000
0.0000 0.3220 0.6780
0.0000 0.6780 0.3220
0.9991 0.9714 0.6672
0.9991 0.6672 0.9714
0.2281 0.5120 0.5120
0.5000 0.6923 0.3077
0.5000 0.3077 0.6923
0.7719 0.4880 0.4880
0.0009 0.3328 0.0286
0.0009 0.0286 0.3328
```

---

Record 4
This record from Alexandria describes a relaxed structure of NaCo2H6. The functional is PBE-GGA.

Output
The total magnetization comes out at 1.49 μB per formula unit. Its density of states at the Fermi level is 3.0 states/eV/f.u. Its energy is -3.952 eV per atom.

The structure in POSCAR format:
```
NaCo2H6
1.0
-2.6415 1.4464 -3.4359
-1.3563 -4.0386 -0.6579
-2.1326 2.5735 2.7225
Na Co H
1 2 6
Direct
0.0000 0.0000 0.0000
0.5000 0.6667 0.3333
0.5000 0.3333 0.6667
0.7154 0.5716 0.5716
0.2846 0.5716 0.0001
0.2846 0.0001 0.5716
0.7154 0.4284 0.9999
0.2846 0.4284 0.4284
0.7154 0.9999 0.4284
```

---

Record 5
This record from Alexandria describes a relaxed structure of NaCoH3. The functional is PBE-GGA.

Output
The total magnetization comes out at 0.00 μB per formula unit. Its density of states at the Fermi level is 1.3 states/eV/f.u. Its energy is -3.744 eV per atom.

The structure in POSCAR format:
```
NaCoH3
1.0
-3.0234 3.0098 3.5466
1.6006 -2.0000 5.3271
1.9346 1.8241 0.1005
H Co Na
6 2 2
Direct
0.8553 0.9960 0.9172
0.1444 0.6791 0.4165
0.4218 0.6792 0.9162
0.2059 0.0169 0.4172
0.9168 0.3339 0.9179
0.6394 0.3337 0.4176
0.1666 0.8421 0.9168
0.8946 0.1708 0.4175
0.3376 0.3136 0.9163
0.7234 0.6994 0.4156
```

---

Record 6
This record from Alexandria describes a relaxed structure of NaCoH3. The functional is PBE-GGA.

Output
The total magnetization comes out at 0.00 μB per formula unit. Its density of states at the Fermi level is 1.6 states/eV/f.u. Its energy is -3.543 eV per atom.

The structure in POSCAR format:
```
NaCoH3
1.0
2.5493 0.0000 0.0000
0.0000 2.6056 -4.5599
0.0000 2.6056 4.5599
Na Co H
1 1 3
Direct
0.5000 0.0820 0.9180
0.0000 0.4233 0.5767
0.5000 0.2333 0.3732
0.5000 0.6268 0.7667
0.0000 0.2627 0.7373
```

---

Record 7
This record from Alexandria describes a relaxed structure of NaCo3H. The functional is PBE-GGA.

Output
The total magnetization comes out at 5.04 μB per formula unit. Its density of states at the Fermi level is 9.9 states/eV/f.u. Its energy is -2.669 eV per atom.

The structure in POSCAR format:
```
NaCo3H
1.0
4.5065 0.0000 0.0000
0.0000 4.5065 0.0000
0.0000 0.0000 4.5065
Na Co H
1 3 1
Direct
0.0000 0.0000 0.0000
0.0000 0.5000 0.0000
0.0000 0.0000 0.5000
0.5000 0.0000 0.0000
0.5000 0.5000 0.5000
```

---

Record 8
This record from Alexandria describes a relaxed structure of NaCoH3. The functional is PBE-GGA.

Output
The total magnetization comes out at 1.00 μB per formula unit. Its density of states at the Fermi level is 0.7 states/eV/f.u. Its energy is -3.834 eV per atom.

The structure in POSCAR format:
```
NaCoH3
1.0
-1.4510 4.6790 -0.6902
-2.4635 1.2460 -4.1053
-3.9357 -0.9043 2.1003
H Co Na
6 2 2
Direct
0.1681 0.7415 0.3743
0.4534 0.1710 0.8720
0.4533 0.5988 0.8733
0.1681 0.3136 0.3729
0.0254 0.5989 0.8741
0.5959 0.3137 0.3722
0.3107 0.4562 0.1231
0.3107 0.4562 0.6231
0.9776 0.1231 0.8729
0.6442 0.7898 0.3729
```

---

Listing theoretical density for the structures above in their given order: 3.27 1.32 3.67 3.32 3.33 2.33 3.64 2.92 g cm⁻³.